The following is a DFT calculation (GGA-PBE) of a geometry-optimized ZrScGe3 structure.

Geometry as POSCAR:
```
ZrScGe3
1.0
-2.670 -2.980 -3.148
-3.104 -1.267 3.832
-3.026 3.929 -1.152
Ge Zr Sc
3 1 1
direct
0.500 0.000 0.000
0.000 0.500 0.000
0.000 0.000 0.500
0.000 0.000 0.000
0.500 0.500 0.500
```

E_tot: -5.437 eV per atom
formation energy: 0.309 eV/atom
total moment: 0.00 μB per cell